Compound: Cs4RbV3F12
Source: Alexandria
Functional: GGA+U
Structure: optimized geometry Values from VASP.

Computed properties:
Calculated density = 4.48 g/cm3
E_tot = -103.79 eV for the cell shown
Magnetization = 8.00 μB/f.u.

The structure in Quantum ESPRESSO input format:
```
&SYSTEM
  ibrav = 0, nat = 20, ntyp = 4
/
ATOMIC_SPECIES
F 19.00 F.upf
V 50.94 V.upf
Rb 85.47 Rb.upf
Cs 132.91 Cs.upf
ATOMIC_POSITIONS crystal
F 0.250 0.500 0.750
F 0.750 0.250 0.500
F 0.000 0.717 0.717
F 0.717 0.717 0.000
F 0.283 0.283 0.000
F 0.000 0.283 0.283
F 0.500 0.250 0.750
F 0.250 0.750 0.500
F 0.717 0.000 0.717
F 0.500 0.750 0.250
F 0.750 0.500 0.250
F 0.283 0.000 0.283
V 0.500 0.500 0.000
V 0.500 0.000 0.500
V 0.000 0.500 0.500
Rb 0.000 0.000 0.000
Cs 0.500 0.500 0.500
Cs 0.000 0.500 0.000
Cs 0.000 0.000 0.500
Cs 0.500 0.000 0.000
CELL_PARAMETERS angstrom
-2.544 -2.955 -6.790
-2.348 -4.595 5.889
-2.930 7.196 0.976
```